No. 1
A relaxed structure of LiCa8Tl2, computed with PBE.

```
LiCa8Tl2
1.0
-2.7118 -0.3225 -4.6973
0.6421 -7.7654 0.1625
-6.6804 2.7233 6.8123
Li Ca Tl
1 8 2
Cartesian
-1.3559 -0.1613 -2.3486
-6.0958 -2.0909 3.6628
-3.4687 -6.7133 -0.6790
-5.7894 -4.0677 0.4791
-8.7971 0.5063 1.9015
-2.9608 -1.2968 1.7984
-5.2815 1.3487 2.9565
-2.6544 -3.2737 -1.3853
0.0469 -5.8709 0.3760
-6.2421 -0.8804 0.5216
-2.5081 -4.4842 1.7559
```

Values from the calculation:
Calculated total energy in eV per atom: -2.243
Energy above the lowest structure with this stoichiometry in eV/f.u.: 0.00
Formation energy from the elements in eV/atom: -0.18

No. 2
A relaxed structure of CdAgF3, computed with PBE.

```
CdAgF3
1.0
3.2924 -0.0305 -0.0129
-0.0891 6.5007 2.9830
-0.1279 0.5783 7.1284
Cd Ag F
2 2 6
Cartesian
3.1509 2.6998 6.6530
1.5910 5.8040 4.7701
0.7754 2.6192 3.1041
0.6655 5.9143 8.3310
1.4873 1.8148 5.3734
-0.0366 6.7195 6.0627
1.5424 4.4427 6.8412
1.6561 1.7164 1.2162
-0.0787 6.2397 3.0924
-0.0930 4.0924 4.5953
```

Values from the calculation:
Calculated total energy in eV per atom: -3.536
Uncorrected formation energy in eV/f.u.: -8.301

No. 3
A relaxed structure of Er12Al5In2, computed with PBE.

```
Er12Al5In2
1.0
-3.1769 -1.6916 -6.2439
0.7182 -6.5619 5.5717
-8.4854 2.5948 3.6144
Er Al In
12 5 2
Cartesian
-3.7960 -6.4658 -0.4761
-7.0602 -1.9901 6.3083
-8.7230 -2.8755 3.0404
-3.5965 -3.7114 4.7916
-5.0906 -4.5070 1.8551
-6.6498 -5.1994 4.7921
-4.2943 -0.4594 -1.8499
-7.3476 -1.9473 -1.8494
-5.8535 -1.1517 1.0871
-3.8839 -3.6686 -3.3661
-2.2212 -2.7833 -0.0982
-7.1481 0.8071 3.4184
-6.0166 -2.4050 3.7129
-1.8629 -4.8554 2.2633
-4.2427 1.2974 1.8072
-9.0812 -0.8034 0.6789
-4.9275 -3.2538 -0.7707
-2.2267 -1.1857 -4.3764
-0.9502 -0.5059 -1.8675
```

Values from the calculation:
Calculated total energy in eV per atom: -4.215
Formation energy from the elements in eV/atom: -0.06

No. 4
A relaxed structure of LiEr4BiS8, computed with PBE.

```
LiEr4BiS8
1.0
7.9603 0.0000 0.0000
3.9802 6.8939 0.0000
3.9802 2.2980 6.6033
Li Er Bi S
1 4 1 8
Cartesian
7.9603 4.5959 5.8672
7.9603 4.5959 0.8069
3.9802 4.5280 3.3139
5.9114 1.1829 3.3139
2.0489 1.1829 3.3139
3.9802 2.2980 6.4315
7.9603 6.9770 4.8495
10.0224 3.4054 4.8495
5.8983 3.4054 4.8495
3.9802 2.2980 1.8191
7.9603 2.1980 1.7755
5.8837 5.7949 1.7755
10.0370 5.7949 1.7755
11.9405 6.8939 4.7832
```

Values from the calculation:
Calculated total energy in eV per atom: -5.746
Uncorrected formation energy in eV/f.u.: -23.384

No. 5
A relaxed structure of PuPa2In9, computed with PBE.

```
PuPa2In9
1.0
4.6473 0.0000 0.0000
0.0000 4.6473 0.0000
0.0000 0.0000 13.9350
Pu Pa In
1 2 9
Cartesian
0.0000 0.0000 0.0000
0.0000 0.0000 4.6504
0.0000 0.0000 9.2846
2.3237 2.3237 0.0000
2.3237 2.3237 4.6419
2.3237 2.3237 9.2930
2.3237 0.0000 2.3115
2.3237 0.0000 6.9675
2.3237 0.0000 11.6235
0.0000 2.3237 2.3115
0.0000 2.3237 6.9675
0.0000 2.3237 11.6235
```

Values from the calculation:
Calculated total energy in eV per atom: -4.989
Formation energy from the elements in eV/atom: -0.16

No. 6
A relaxed structure of La2C3, computed with PBE.

```
La2C3
1.0
-5.9533 4.5019 -1.6128
-1.2970 -3.6813 6.5632
6.3028 4.2582 0.6725
La C
8 12
Cartesian
-0.5729 3.0710 3.3999
-0.4849 3.9344 -0.5406
2.6386 0.6738 2.9310
-3.0021 -0.0608 2.6440
1.9901 -1.1669 6.2126
-5.9788 2.1901 1.8376
2.6665 6.0636 -0.2043
-0.0992 0.5315 0.5885
-0.0973 6.6108 -0.4598
-1.1910 6.7346 0.2869
-0.3129 0.3780 3.4053
1.3562 2.7686 1.5272
-4.4344 0.7311 5.1630
3.8244 2.1885 5.2383
-3.1783 2.5597 1.9947
1.4089 4.0900 1.3854
-2.0846 2.4359 1.2480
0.4421 0.4651 4.4967
-5.1895 0.6441 4.0715
3.7717 0.8671 5.3802
```

Values from the calculation:
Calculated total energy in eV per atom: -7.675
Formation energy from the elements in eV/atom: -0.17